(1)
# BaCd2W (PBE, relaxed)
# E_form = 0.629 eV/atom
# energy above the most stable polymorph in this dataset = 0.04 eV/f.u.
data_BaCd2W
_chemical_formula_sum 'Ba1 Cd2 W1'
_cell_length_a 3.1010
_cell_length_b 4.1891
_cell_length_c 7.6786
_cell_angle_alpha 90.00
_cell_angle_beta 90.00
_cell_angle_gamma 90.00
_space_group_name_H-M_alt 'P m m m'
_space_group_IT_number 47
_space_group_name_Hall '-P 2 2'
loop_
_atom_site_label
_atom_site_type_symbol
_atom_site_fract_x
_atom_site_fract_y
_atom_site_fract_z
Ba1 Ba 0.0000 0.0000 0.0000
Cd1 Cd 0.5000 0.5000 0.3136
W1 W 0.0000 0.0000 0.5000

---

(2)
# U2Si7Ni2 (PBE, relaxed)
# energy relative to the elements, uncorrected = -0.306 eV/atom
data_U2Si7Ni2
_chemical_formula_sum 'U4 Si14 Ni4'
_cell_length_a 3.9920
_cell_length_b 4.0601
_cell_length_c 21.3046
_cell_angle_alpha 90.00
_cell_angle_beta 90.00
_cell_angle_gamma 90.00
_space_group_name_H-M_alt 'A m m 2'
_space_group_IT_number 38
_space_group_name_Hall 'A 2 -2'
loop_
_atom_site_label
_atom_site_type_symbol
_atom_site_fract_x
_atom_site_fract_y
_atom_site_fract_z
U1 U 0.0000 0.0000 0.0000
U2 U 0.0000 0.0000 0.3367
Si1 Si 0.0000 0.0000 0.6103
Si2 Si 0.0000 0.0000 0.7283
Si3 Si 0.5000 0.0000 0.1087
Si4 Si 0.5000 0.0000 0.2286
Si5 Si 0.5000 0.0000 0.4391
Si6 Si 0.5000 0.0000 0.5456
Si7 Si 0.5000 0.0000 0.8852
Ni1 Ni 0.0000 0.0000 0.1632
Ni2 Ni 0.5000 0.0000 0.7793

---

(3)
# SrFe2Au (PBE, relaxed)
# E_form = 0.333 eV/atom
data_SrFe2Au
_chemical_formula_sum 'Sr4 Fe8 Au4'
_cell_length_a 4.5795
_cell_length_b 4.5795
_cell_length_c 18.5386
_cell_angle_alpha 90.00
_cell_angle_beta 90.00
_cell_angle_gamma 90.00
_space_group_name_H-M_alt 'I 41/a m d'
_space_group_IT_number 141
loop_
_space_group_symop_operation_xyz
'x,y,z'
'-x,-y,-z'
'-y+1/4,x+3/4,z+1/4'
'y+1/4,-x+3/4,-z+1/4'
'-x+1/2,-y,z+1/2'
'x+1/2,y,-z+1/2'
'y+1/4,-x+1/4,z+3/4'
'-y+1/4,x+1/4,-z+3/4'
'x,-y,-z'
'-x,y,z'
'-y+1/4,-x+1/4,-z+3/4'
'y+1/4,x+1/4,z+3/4'
'-x+1/2,y,-z+1/2'
'x+1/2,-y,z+1/2'
'y+1/4,x+3/4,-z+1/4'
'-y+1/4,-x+3/4,z+1/4'
'x+1/2,y+1/2,z+1/2'
'-x+1/2,-y+1/2,-z+1/2'
'-y+3/4,x+1/4,z+3/4'
'y+3/4,-x+1/4,-z+3/4'
'-x,-y+1/2,z'
'x,y+1/2,-z'
'y+3/4,-x+3/4,z+1/4'
'-y+3/4,x+3/4,-z+1/4'
'x+1/2,-y+1/2,-z+1/2'
'-x+1/2,y+1/2,z+1/2'
'-y+3/4,-x+3/4,-z+1/4'
'y+3/4,x+3/4,z+1/4'
'-x,y+1/2,-z'
'x,-y+1/2,z'
'y+3/4,x+1/4,-z+3/4'
'-y+3/4,-x+1/4,z+3/4'
loop_
_atom_site_label
_atom_site_type_symbol
_atom_site_fract_x
_atom_site_fract_y
_atom_site_fract_z
Sr1 Sr 0.0000 0.2500 0.3750
Fe1 Fe 0.0000 0.0000 0.0000
Au1 Au 0.0000 0.2500 0.8750

---

(4)
# CaVPPt2 (PBE, relaxed)
# E_form = -0.352 eV/atom
data_CaVPPt2
_chemical_formula_sum 'Ca1 V1 P1 Pt2'
_cell_length_a 4.6319
_cell_length_b 4.6319
_cell_length_c 4.3616
_cell_angle_alpha 90.00
_cell_angle_beta 90.00
_cell_angle_gamma 90.00
_space_group_name_H-M_alt 'P 4/m m m'
_space_group_IT_number 123
_space_group_name_Hall '-P 4 2'
loop_
_atom_site_label
_atom_site_type_symbol
_atom_site_fract_x
_atom_site_fract_y
_atom_site_fract_z
Ca1 Ca 0.0000 0.0000 0.0000
V1 V 0.5000 0.5000 0.0000
P1 P 0.5000 0.5000 0.5000
Pt1 Pt 0.0000 0.5000 0.5000

---

no.,total energy (eV per cell)
1,-14.188
2,-150.935
3,-82.218
4,-30.373